No. 1
VASP calculation (PBE-GGA) on a geometry-optimized Ca2LaTb2 structure.

Cell: 9.589 9.589 3.982 Å, 90.00 90.00 90.00°
Element x y z (fractional)
Ca  0.172  0.328  0.000
Ca  0.328  0.828  0.000
Ca  0.672  0.172  0.000
Ca  0.828  0.672  0.000
La  0.000  0.000  0.500
La  0.500  0.500  0.500
Tb  0.125  0.625  0.500
Tb  0.375  0.125  0.500
Tb  0.625  0.875  0.500
Tb  0.875  0.375  0.500

Results
As for the formation energy: 4.7 kcal/mol of atoms. The value obtained for the total energy is -3.435 eV per atom. The value obtained for the density of states at the Fermi level is 15.2 states/eV per cell. The calculation puts the calculated density at 4.870 g/cm3.

No. 2
VASP calculation (PBE-GGA) on a geometry-optimized Zn4ReTe structure.

Cell: 5.109 5.109 5.109 Å, 60.00 60.00 60.00°
Element x y z (fractional)
Zn  0.123  0.123  0.123
Zn  0.123  0.123  0.630
Zn  0.123  0.630  0.123
Zn  0.630  0.123  0.123
Re  0.750  0.750  0.750
Te  0.500  0.500  0.500

Results
The value obtained for the total energy is -3.071 eV per atom. The value obtained for the density of states at the Fermi level is 0.6 states/eV per cell. The calculation puts the calculated density at 10.132 g/cm3.

No. 3
VASP calculation (PBE-GGA) on a geometry-optimized AcTiSe4 structure.

Cell: 7.771 7.771 6.454 Å, 109.22 109.22 106.92°
Element x y z (fractional)
Ac  0.137  0.863  0.750
Ac  0.863  0.137  0.250
Ti  0.498  0.502  0.750
Ti  0.502  0.498  0.250
Se  0.174  0.298  0.803
Se  0.226  0.547  0.402
Se  0.298  0.174  0.303
Se  0.453  0.774  0.098
Se  0.547  0.226  0.902
Se  0.702  0.826  0.697
Se  0.774  0.453  0.598
Se  0.826  0.702  0.197

Results
The value obtained for the total energy is -5.530 eV per atom. The value obtained for the density of states at the Fermi level is 7.3 states/eV per cell. The calculation puts the calculated density at 6.316 g/cm3.

> Look up the calculated density of the third one.

6.316 g/cm3

> Look up the calculated density of the second one.

10.132 g/cm3

> The lowest calculated density belongs to which entry?

Ca2LaTb2